Dy12InGa6: optimized geometry, PBE-GGA.

Cell lengths 8.722, 8.722, 8.722 Å; angles 109.47, 109.47, 109.47 degrees
Positions (direct):
Dy (0.104, 0.811, 0.293)
Dy (0.189, 0.293, 0.482)
Dy (0.189, 0.707, 0.896)
Dy (0.293, 0.104, 0.811)
Dy (0.293, 0.482, 0.189)
Dy (0.482, 0.189, 0.293)
Dy (0.518, 0.811, 0.707)
Dy (0.707, 0.518, 0.811)
Dy (0.707, 0.896, 0.189)
Dy (0.811, 0.293, 0.104)
Dy (0.811, 0.707, 0.518)
Dy (0.896, 0.189, 0.707)
In (0.000, 0.000, 0.000)
Ga (0.123, 0.623, 0.500)
Ga (0.377, 0.500, 0.877)
Ga (0.500, 0.123, 0.623)
Ga (0.500, 0.877, 0.377)
Ga (0.623, 0.500, 0.123)
Ga (0.877, 0.377, 0.500)

- SG = Im-3, No. 204
- magnetic moment (μB per formula unit) = 0.00
- energy of formation (kJ per mole of atoms) = -37.9
- D(E_F) (states/eV per cell) = 15.4
- energy (eV per cell) = -83.59